(1)
! Si2PBr PBE optimized geometry; values from VASP
&SYSTEM
  ibrav = 0, nat = 4, ntyp = 3
/
ATOMIC_SPECIES
Br 79.90 Br.upf
P 30.97 P.upf
Si 28.09 Si.upf
CELL_PARAMETERS angstrom
-0.374 -2.826 1.305
2.766 0.302 1.445
-3.891 3.606 6.696
ATOMIC_POSITIONS angstrom
Br -1.850 1.715 3.184
P -2.191 1.877 7.204
Si -3.851 3.570 6.628
Si 0.558 -0.670 2.474
! **ΔE_f (raw)**: 377 meV per atom
! **Energy relative to the lowest polymorph listed for this composition**: 308 meV/atom
! **Space group**: No. 99

(2)
! DyCdSeO5 PBE optimized geometry; values from VASP
&SYSTEM
  ibrav = 0, nat = 16, ntyp = 4
/
ATOMIC_SPECIES
Dy 162.50 Dy.upf
Cd 112.41 Cd.upf
Se 78.96 Se.upf
O 16.00 O.upf
CELL_PARAMETERS angstrom
6.002 0.676 -0.171
-1.106 5.938 -0.171
-2.263 -3.057 7.429
ATOMIC_POSITIONS angstrom
Dy -1.131 -1.528 3.714
Dy 0.000 0.000 0.000
Cd 0.542 3.535 1.687
Cd 2.091 0.022 5.401
Se 3.045 1.682 1.687
Se -0.411 1.875 5.401
O -1.147 4.786 1.687
O 3.781 -1.229 5.401
O 4.177 2.061 0.265
O -1.544 1.496 6.823
O 3.013 0.488 3.109
O -0.380 3.069 3.979
O 2.710 3.233 2.408
O -0.077 0.325 4.679
O 1.464 1.550 0.965
O 1.169 2.007 6.123
! **ΔE_f (raw)**: -1551 meV per atom
! **Space group**: No. 15

(3)
! RbTl2Ga2 PBE optimized geometry; values from VASP
&SYSTEM
  ibrav = 0, nat = 5, ntyp = 3
/
ATOMIC_SPECIES
Tl 204.38 Tl.upf
Ga 69.72 Ga.upf
Rb 85.47 Rb.upf
CELL_PARAMETERS angstrom
5.046 0.000 0.000
0.000 5.046 0.000
2.523 2.523 5.869
ATOMIC_POSITIONS angstrom
Tl 5.046 2.523 2.935
Tl 2.523 5.046 2.935
Ga 2.523 2.523 1.304
Ga 5.046 5.046 4.565
Rb 0.000 0.000 0.000
! **Energy relative to the lowest polymorph listed for this composition**: 0 meV/atom
! **Space group**: No. 139

(4)
! Sb3Au4 PBE optimized geometry; values from VASP
&SYSTEM
  ibrav = 0, nat = 7, ntyp = 2
/
ATOMIC_SPECIES
Sb 121.76 Sb.upf
Au 196.97 Au.upf
CELL_PARAMETERS angstrom
0.096 0.989 6.095
-2.562 -5.147 -2.253
4.503 -2.380 0.315
ATOMIC_POSITIONS angstrom
Sb -1.281 -2.574 -1.126
Sb -1.233 -2.079 1.921
Sb 0.048 0.495 3.047
Au 1.132 -0.598 0.079
Au 3.371 -1.782 0.236
Au 1.461 -2.246 3.470
Au 0.575 -4.292 0.688
! **ΔE_f (raw)**: 349 meV per atom
! **Energy relative to the lowest polymorph listed for this composition**: 276 meV/atom
! **Space group**: No. 191

(5)
! Tm8CuHg2 PBE optimized geometry; values from VASP
&SYSTEM
  ibrav = 0, nat = 11, ntyp = 3
/
ATOMIC_SPECIES
Tm 168.93 Tm.upf
Cu 63.55 Cu.upf
Hg 200.59 Hg.upf
CELL_PARAMETERS angstrom
5.114 0.000 0.000
0.000 6.731 0.251
-2.557 -2.584 8.411
ATOMIC_POSITIONS angstrom
Tm 0.000 1.620 7.038
Tm 2.557 5.695 2.871
Tm 2.557 3.109 5.207
Tm 2.557 -0.958 8.068
Tm 0.000 1.039 3.455
Tm 0.000 -1.548 5.790
Tm 2.557 2.527 1.623
Tm 0.000 5.105 0.594
Cu 2.557 0.000 0.000
Hg 2.557 0.202 5.306
Hg 0.000 3.945 3.355
! **Raw total energy**: -3.8709 eV per atom
! **Space group**: No. 12

(6)
! PPb2Se PBE optimized geometry; values from VASP
&SYSTEM
  ibrav = 0, nat = 4, ntyp = 3
/
ATOMIC_SPECIES
P 30.97 P.upf
Pb 207.20 Pb.upf
Se 78.96 Se.upf
CELL_PARAMETERS angstrom
0.000 3.685 3.685
3.685 0.000 3.685
3.685 3.685 0.000
ATOMIC_POSITIONS angstrom
P 3.685 3.685 3.685
Pb 0.000 0.000 0.000
Pb 5.528 5.528 5.528
Se 1.843 1.843 1.843
! **ΔE_f (raw)**: 370 meV per atom
! **Energy relative to the lowest polymorph listed for this composition**: 509 meV/atom
! **Space group**: No. 216

Respective magnetic moment values: 0.00; 0.87; 0.00; 0.00; 0.00; 0.00 μB/f.u..